[1]
HfSc2Pt3 PBE-GGA optimized geometry; space-group type = Pmmn; ΔH_f (0 K) = -1.166 eV/atom; DOS(E_F) = 6.46 states/eV/cell
1.0
4.720 0.000 0.000
0.000 14.518 0.000
0.000 0.000 3.199
Hf Sc Pt
2 4 6
Direct
0.250 0.250 0.008
0.750 0.750 0.992
0.250 0.579 0.993
0.250 0.921 0.993
0.750 0.079 0.007
0.750 0.421 0.007
0.250 0.094 0.514
0.250 0.406 0.514
0.250 0.750 0.499
0.750 0.250 0.501
0.750 0.594 0.486
0.750 0.906 0.486

[2]
Hf2ScPt PBE-GGA optimized geometry; space-group type = I-42d; ΔH_f (0 K) = -0.264 eV/atom; DOS(E_F) = 9.90 states/eV/cell
1.0
-3.949 3.949 2.896
3.949 -3.949 2.896
3.949 3.949 -2.896
Hf Sc Pt
4 2 2
Direct
0.070 0.625 0.945
0.375 0.320 0.445
0.680 0.125 0.055
0.875 0.930 0.555
0.250 0.750 0.500
0.500 0.500 0.000
0.000 0.000 0.000
0.750 0.250 0.500

[3]
HfSc2Pt2 PBE-GGA optimized geometry; space-group type = P4/mbm; ΔH_f (0 K) = -0.752 eV/atom; DOS(E_F) = 8.29 states/eV/cell
1.0
8.055 0.000 0.000
0.000 8.055 0.000
0.000 0.000 2.908
Hf Sc Pt
2 4 4
Direct
0.000 0.000 0.000
0.500 0.500 0.000
0.137 0.363 0.000
0.363 0.863 0.000
0.637 0.137 0.000
0.863 0.637 0.000
0.163 0.663 0.500
0.337 0.163 0.500
0.663 0.837 0.500
0.837 0.337 0.500

[4]
HfSc2Pt PBE-GGA optimized geometry; space-group type = Fm-3m; ΔH_f (0 K) = -0.334 eV/atom; DOS(E_F) = 4.50 states/eV/cell
1.0
0.000 3.408 3.408
3.408 0.000 3.408
3.408 3.408 0.000
Hf Sc Pt
1 2 1
Direct
0.000 0.000 0.000
0.250 0.250 0.250
0.750 0.750 0.750
0.500 0.500 0.500

[5]
HfScPt3 PBE-GGA optimized geometry; space-group type = Cmcm; ΔH_f (0 K) = -0.841 eV/atom; DOS(E_F) = 7.69 states/eV/cell
1.0
2.724 -6.860 0.000
2.724 6.860 0.000
0.000 0.000 5.075
Hf Sc Pt
2 2 6
Direct
0.193 0.807 0.750
0.807 0.193 0.250
0.434 0.566 0.250
0.566 0.434 0.750
0.000 0.000 0.000
0.000 0.000 0.500
0.110 0.397 0.750
0.397 0.110 0.250
0.603 0.890 0.750
0.890 0.603 0.250

[6]
HfScPt PBE-GGA optimized geometry; space-group type = R-3m; ΔH_f (0 K) = -0.719 eV/atom; DOS(E_F) = 5.86 states/eV/cell
1.0
2.279 1.316 7.487
-2.279 1.316 7.487
0.000 -2.632 7.487
Hf Sc Pt
2 2 2
Direct
0.124 0.124 0.124
0.876 0.876 0.876
0.374 0.374 0.374
0.626 0.626 0.626
0.246 0.246 0.246
0.754 0.754 0.754

[7]
Hf2ScPt PBE-GGA optimized geometry; space-group type = P4/mmm; ΔH_f (0 K) = -0.459 eV/atom; DOS(E_F) = 4.96 states/eV/cell
1.0
3.364 0.000 0.000
0.000 3.364 0.000
0.000 0.000 7.213
Hf Sc Pt
2 1 1
Direct
0.000 0.000 0.222
0.000 0.000 0.778
0.500 0.500 0.500
0.500 0.500 0.000

[8]
HfSc2Pt PBE-GGA optimized geometry; space-group type = P4/mmm; ΔH_f (0 K) = -0.595 eV/atom; DOS(E_F) = 4.81 states/eV/cell
1.0
3.309 0.000 0.000
0.000 3.309 0.000
0.000 0.000 7.451
Hf Sc Pt
1 2 1
Direct
0.000 0.000 0.000
0.500 0.500 0.284
0.500 0.500 0.716
0.000 0.000 0.500

[9]
HfScPt PBE-GGA optimized geometry; space-group type = I4mm; ΔH_f (0 K) = -0.732 eV/atom; DOS(E_F) = 4.25 states/eV/cell
1.0
-1.674 1.674 5.250
1.674 -1.674 5.250
1.674 1.674 -5.250
Hf Sc Pt
1 1 1
Direct
0.000 0.000 0.000
0.692 0.692 0.000
0.354 0.354 0.000

[10]
HfScPt2 PBE-GGA optimized geometry; space-group type = P4/mmm; ΔH_f (0 K) = -1.100 eV/atom; DOS(E_F) = 2.20 states/eV/cell
1.0
4.918 0.000 0.000
0.000 4.918 0.000
0.000 0.000 2.991
Hf Sc Pt
1 1 2
Direct
0.000 0.000 0.000
0.500 0.500 0.000
0.000 0.500 0.500
0.500 0.000 0.500

[11]
HfSc2Pt2 PBE-GGA optimized geometry; space-group type = I4/mmm; ΔH_f (0 K) = -0.668 eV/atom; DOS(E_F) = 7.78 states/eV/cell
1.0
-2.115 2.115 5.772
2.115 -2.115 5.772
2.115 2.115 -5.772
Hf Sc Pt
1 2 2
Direct
0.000 0.000 0.000
0.250 0.750 0.500
0.750 0.250 0.500
0.390 0.390 0.000
0.610 0.610 0.000

[12]
HfScPt2 PBE-GGA optimized geometry; space-group type = P2_1/m; ΔH_f (0 K) = -1.166 eV/atom; DOS(E_F) = 4.73 states/eV/cell
1.0
3.328 0.000 0.000
0.000 4.471 0.000
-1.690 0.000 9.929
Hf Sc Pt
2 2 4
Direct
0.193 0.250 0.386
0.807 0.750 0.614
0.055 0.750 0.113
0.945 0.250 0.887
0.329 0.250 0.658
0.429 0.750 0.856
0.571 0.250 0.144
0.671 0.750 0.342

[13]
HfSc2Pt2 PBE-GGA optimized geometry; space-group type = Immm; ΔH_f (0 K) = -0.922 eV/atom; DOS(E_F) = 3.53 states/eV/cell
1.0
-2.225 2.839 3.987
2.225 -2.839 3.987
2.225 2.839 -3.987
Hf Sc Pt
1 2 2
Direct
0.000 0.000 0.000
0.298 0.798 0.500
0.702 0.202 0.500
0.268 0.500 0.768
0.732 0.500 0.232

[14]
Hf2ScPtSe PBE-GGA optimized geometry; space-group type = P4/mmm; formation energy from raw total energies = -52 kJ/mol of formula units; DOS(E_F) = 2.82 states/eV/cell
1.0
4.853 0.000 0.000
0.000 4.853 0.000
0.000 0.000 4.769
Hf Sc Pt Se
2 1 1 1
Direct
0.000 0.500 0.000
0.500 0.000 0.000
0.000 0.000 0.500
0.500 0.500 0.500
0.000 0.000 0.000

[15]
HfScTiPt2 PBE-GGA optimized geometry; space-group type = P4/mmm; ΔH_f (0 K) = 0.667 eV/atom; DOS(E_F) = 4.72 states/eV/cell
1.0
4.742 0.000 0.000
0.000 4.742 0.000
0.000 0.000 4.874
Hf Sc Ti Pt
1 1 1 2
Direct
0.000 0.000 0.000
0.000 0.000 0.500
0.500 0.500 0.000
0.000 0.500 0.500
0.500 0.000 0.500

[16]
HfScTlPt PBE-GGA optimized geometry; space-group type = F-43m; ΔH_f (0 K) = -0.473 eV/atom; DOS(E_F) = 2.40 states/eV/cell
1.0
0.000 3.437 3.437
3.437 0.000 3.437
3.437 3.437 0.000
Hf Sc Tl Pt
1 1 1 1
Direct
0.000 0.000 0.000
0.500 0.500 0.500
0.750 0.750 0.750
0.250 0.250 0.250

[17]
HfPtSe PBE-GGA optimized geometry; space-group type = R-3m; formation energy from raw total energies = -282 kJ/mol of formula units; DOS(E_F) = 1.95 states/eV/cell
1.0
1.859 1.073 11.879
-1.859 1.073 11.879
0.000 -2.146 11.879
Hf Pt Se
2 2 2
Direct
0.070 0.070 0.070
0.930 0.930 0.930
0.358 0.358 0.358
0.642 0.642 0.642
0.218 0.218 0.218
0.782 0.782 0.782

[18]
Hf3PtSe PBE-GGA optimized geometry; space-group type = Pm-3m; formation energy from raw total energies = 41 kJ/mol of formula units; DOS(E_F) = 2.81 states/eV/cell
1.0
4.822 0.000 0.000
0.000 4.822 0.000
0.000 0.000 4.822
Hf Pt Se
3 1 1
Direct
0.000 0.000 0.500
0.000 0.500 0.000
0.500 0.000 0.000
0.500 0.500 0.500
0.000 0.000 0.000

[19]
HfPt3Se PBE-GGA optimized geometry; space-group type = Pm-3m; formation energy from raw total energies = 408 kJ/mol of formula units; DOS(E_F) = 2.20 states/eV/cell
1.0
4.938 0.000 0.000
0.000 4.938 0.000
0.000 0.000 4.938
Hf Pt Se
1 3 1
Direct
0.000 0.000 0.000
0.000 0.000 0.500
0.000 0.500 0.000
0.500 0.000 0.000
0.500 0.500 0.500

[20]
HfPt3Se PBE-GGA optimized geometry; space-group type = Pm-3m; formation energy from raw total energies = 162 kJ/mol of formula units; DOS(E_F) = 4.09 states/eV/cell
1.0
4.674 0.000 0.000
0.000 4.674 0.000
0.000 0.000 4.674
Hf Pt Se
1 3 1
Direct
0.000 0.000 0.000
0.000 0.500 0.500
0.500 0.000 0.500
0.500 0.500 0.000
0.500 0.500 0.500

[21]
Hf2PtSe PBE-GGA optimized geometry; space-group type = I-42d; formation energy from raw total energies = -244 kJ/mol of formula units; DOS(E_F) = 4.15 states/eV/cell
1.0
-3.589 3.589 3.209
3.589 -3.589 3.209
3.589 3.589 -3.209
Hf Pt Se
4 2 2
Direct
0.123 0.625 0.998
0.375 0.373 0.498
0.627 0.125 0.002
0.875 0.877 0.502
0.000 0.000 0.000
0.750 0.250 0.500
0.250 0.750 0.500
0.500 0.500 0.000

[22]
HfSi2PtSe PBE-GGA optimized geometry; space-group type = P4/mmm; formation energy from raw total energies = 465 kJ/mol of formula units; DOS(E_F) = 3.65 states/eV/cell
1.0
5.118 0.000 0.000
0.000 5.118 0.000
0.000 0.000 4.927
Hf Si Pt Se
1 2 1 1
Direct
0.000 0.000 0.000
0.000 0.500 0.000
0.500 0.000 0.000
0.000 0.000 0.500
0.500 0.500 0.500

[23]
Hf2SiPt2 PBE-GGA optimized geometry; space-group type = I4/mmm; formation energy from raw total energies = -186 kJ/mol of formula units; DOS(E_F) = 1.89 states/eV/cell
1.0
-2.266 2.266 5.237
2.266 -2.266 5.237
2.266 2.266 -5.237
Hf Si Pt
2 1 2
Direct
0.250 0.750 0.500
0.750 0.250 0.500
0.000 0.000 0.000
0.378 0.378 0.000
0.622 0.622 0.000

[24]
HfSi2Pt PBE-GGA optimized geometry; space-group type = Fm-3m; formation energy from raw total energies = -102 kJ/mol of formula units; DOS(E_F) = 3.42 states/eV/cell
1.0
0.000 3.163 3.163
3.163 0.000 3.163
3.163 3.163 0.000
Hf Si Pt
1 2 1
Direct
0.000 0.000 0.000
0.250 0.250 0.250
0.750 0.750 0.750
0.500 0.500 0.500

[25]
Hf2SiPt PBE-GGA optimized geometry; space-group type = R3m; formation energy from raw total energies = -215 kJ/mol of formula units; DOS(E_F) = 1.13 states/eV/cell
1.0
2.051 1.184 5.372
-2.051 1.184 5.372
0.000 -2.368 5.372
Hf Si Pt
2 1 1
Direct
0.000 0.000 0.000
0.206 0.206 0.206
0.417 0.417 0.417
0.797 0.797 0.797

[26]
HfSiPt PBE-GGA optimized geometry; space-group type = Cm; formation energy from raw total energies = -242 kJ/mol of formula units; DOS(E_F) = 2.58 states/eV/cell
1.0
5.257 -1.967 0.000
5.257 1.967 0.000
-1.264 0.000 5.014
Hf Si Pt
2 2 2
Direct
0.000 0.000 0.000
0.234 0.234 0.597
0.332 0.332 0.137
0.550 0.550 0.599
0.687 0.687 0.060
0.917 0.917 0.466

[27]
HfSiPt PBE-GGA optimized geometry; space-group type = P2_1/m; formation energy from raw total energies = -321 kJ/mol of formula units; DOS(E_F) = 4.44 states/eV/cell
1.0
6.596 0.000 0.000
0.000 3.928 0.000
-0.037 0.000 11.302
Hf Si Pt
6 6 6
Direct
0.022 0.250 0.209
0.346 0.750 0.579
0.471 0.750 0.880
0.529 0.250 0.120
0.654 0.250 0.421
0.978 0.750 0.791
0.242 0.750 0.084
0.243 0.250 0.416
0.269 0.250 0.750
0.731 0.750 0.250
0.757 0.750 0.584
0.758 0.250 0.916
0.012 0.250 0.593
0.149 0.250 0.958
0.368 0.750 0.293
0.632 0.250 0.707
0.851 0.750 0.042
0.988 0.750 0.407